Entry from Alexandria via LeMat-Bulk: a PBEsol-optimized structure of Zr2CrRh (meta-GGA SCAN).

a = 3.1111 Å, b = 3.1111 Å, c = 24.2451 Å
α = 90.00°, β = 90.00°, γ = 120.00°
Space group R-3m (No. 166, hexagonal axes)
Inequivalent atoms, fractional coordinates:
1 Zr 0.0000 0.0000 0.2467
2 Cr 0.0000 0.0000 0.5000
3 Rh 0.0000 0.0000 0.0000

Computed properties:
**Magnetization**: 0.00 μB/cell
**DFT formation energy**: 7.1 meV/atom
**Energy above the most stable polymorph in this dataset**: 0.457 eV/atom